Record 1
This record from Alexandria via LeMat-Bulk describes a geometry-optimized Li2Ga8Ru structure. The functional is GGA-PBE.

Properties
DFT total energy = -3.579 eV/atom
total magnetic moment = 0.00 μB/cell
calculated volume = 191 Å³/f.u.

Cell: 4.079 5.505 9.827 Å, 116.89 101.98 90.00°
Element x y z (fractional)
Ga  0.619  0.918  0.239
Ga  0.204  0.310  0.408
Ga  0.629  0.448  0.258
Ga  0.993  0.720  0.985
Ga  0.381  0.082  0.761
Ga  0.371  0.552  0.742
Ga  0.007  0.280  0.015
Ga  0.796  0.690  0.592
Li  0.795  0.189  0.590
Li  0.205  0.811  0.410
Ru  0.500  0.000  0.000

Record 2
This record from Alexandria via LeMat-Bulk describes a geometry-optimized LiGaRu3 structure. The functional is GGA-PBE.

Properties
distance to the lowest polymorph of the same formula = 335.5 meV/atom
DFT total energy = -5.279 eV/atom
total magnetic moment = 3.19 μB/cell
calculated volume = 97 Å³/f.u.

Cell: 4.587 4.587 4.587 Å, 90.00 90.00 90.00°
Site moments in Bohr magnetons follow the coordinates.
Element x y z (fractional)
Ru  0.000  0.500  0.000  1.11
Ru  0.500  0.000  0.000  0.84
Ru  0.000  0.000  0.500  1.22
Li  0.500  0.500  0.500  -0.02
Ga  0.000  0.000  0.000  -0.04

Record 3
This record from Alexandria via LeMat-Bulk describes a geometry-optimized Li5Ga2Ru structure. The functional is GGA-PBE.

Properties
DFT total energy = -3.302 eV/atom
total magnetic moment = 0.00 μB/cell
calculated volume = 121 Å³/f.u.

Cell: 3.214 6.162 12.241 Å, 90.00 90.00 90.00°
Element x y z (fractional)
Ga  0.500  0.278  0.115
Ga  0.500  0.222  0.615
Ga  0.500  0.722  0.885
Ga  0.500  0.778  0.385
Li  0.000  0.480  0.747
Li  0.000  0.020  0.247
Li  0.000  0.520  0.253
Li  0.500  0.240  0.381
Li  0.500  0.740  0.119
Li  0.500  0.260  0.881
Li  0.000  0.500  0.500
Li  0.500  0.760  0.619
Li  0.000  0.980  0.753
Li  0.000  0.000  0.000
Ru  0.000  0.000  0.500
Ru  0.000  0.500  0.000

Record 4
This record from Alexandria via LeMat-Bulk describes a geometry-optimized Li8Ga6Ru structure. The functional is GGA-PBE.

Properties
DFT total energy = -3.077 eV/atom
total magnetic moment = 0.00 μB/cell
calculated volume = 248 Å³/f.u.

Cell: 7.135 7.135 6.973 Å, 59.23 59.23 60.00°
Element x y z (fractional)
Ga  0.994  0.712  0.884
Ga  0.006  0.288  0.116
Ga  0.410  0.994  0.884
Ga  0.590  0.006  0.116
Ga  0.288  0.590  0.116
Ga  0.712  0.410  0.884
Li  0.413  0.413  0.760
Li  0.840  0.642  0.381
Li  0.587  0.587  0.240
Li  0.138  0.840  0.381
Li  0.862  0.160  0.619
Li  0.358  0.862  0.619
Li  0.160  0.358  0.619
Li  0.642  0.138  0.381
Ru  0.000  0.000  0.000

Record 5
This record from Alexandria via LeMat-Bulk describes a geometry-optimized LiGa6Ru5 structure. The functional is GGA-PBE.

Properties
DFT total energy = -5.882 eV/atom
total magnetic moment = 0.00 μB/cell
calculated volume = 167 Å³/f.u.

Cell: 4.261 6.110 6.766 Å, 90.00 108.40 90.00°
Element x y z (fractional)
Ga  0.830  0.746  0.659
Ga  0.500  0.256  0.000
Ga  0.170  0.746  0.341
Ga  0.170  0.254  0.341
Ga  0.500  0.744  0.000
Ga  0.830  0.254  0.659
Ru  0.663  0.500  0.326
Ru  0.341  0.000  0.680
Ru  0.659  0.000  0.320
Ru  0.337  0.500  0.674
Ru  0.000  0.500  0.000
Li  0.000  0.000  0.000

Record 6
This record from Alexandria via LeMat-Bulk describes a geometry-optimized Li3Ga2Ru structure. The functional is GGA-PBE.

Properties
DFT total energy = -3.696 eV/atom
total magnetic moment = 0.00 μB/cell
calculated volume = 92 Å³/f.u.

Cell: 6.807 6.807 8.349 Å, 62.22 62.22 33.02°
Element x y z (fractional)
Li  0.290  0.290  0.366
Li  0.372  0.372  0.644
Li  0.628  0.628  0.356
Li  0.710  0.710  0.634
Li  0.034  0.034  0.649
Li  0.966  0.966  0.351
Ru  0.122  0.122  0.918
Ru  0.878  0.878  0.082
Ga  0.231  0.231  0.115
Ga  0.488  0.488  0.857
Ga  0.512  0.512  0.143
Ga  0.769  0.769  0.885